(1)
TlSb2Cl, optimized geometry, DFT GGA-PBE; symmetry = P2/m; raw formation energy = -0.92 eV per formula unit; energy above the most stable polymorph in this dataset = 174 meV per atom; calculated total energy = -13.38 eV for the cell shown
1.0
4.1822 0.0000 0.0000
0.0000 6.8516 0.0000
-0.1425 0.0000 4.7502
Tl Sb Cl
1 2 1
direct
0.0000 0.0000 0.0000 Tl
0.2670 0.5000 0.1981 Sb
0.7330 0.5000 0.8019 Sb
0.5000 0.0000 0.5000 Cl

=====

(2)
NiTeH3, optimized geometry, DFT GGA-PBE; symmetry = Pm-3m; energy above the most stable polymorph in this dataset = 504 meV per atom; calculated total energy = -13.43 eV for the cell shown
1.0
3.9323 0.0000 0.0000
0.0000 3.9323 0.0000
0.0000 0.0000 3.9323
Ni Te H
1 1 3
direct
0.0000 0.0000 0.0000 Ni
0.5000 0.5000 0.5000 Te
0.0000 0.5000 0.5000 H
0.5000 0.0000 0.5000 H
0.5000 0.5000 0.0000 H

=====

(3)
RbCN3, optimized geometry, DFT GGA-PBE; symmetry = C2/m; raw formation energy = 1.57 eV per formula unit; calculated total energy = -67.19 eV for the cell shown
1.0
7.5391 -2.1137 0.0000
7.5391 2.1137 0.0000
-3.3613 0.0000 6.4850
Rb C N
2 2 6
direct
0.1794 0.1794 0.1678 Rb
0.8206 0.8206 0.8322 Rb
0.4416 0.4416 0.3314 C
0.5584 0.5584 0.6686 C
0.3756 0.3756 0.5940 N
0.3785 0.3785 0.1517 N
0.4420 0.4420 0.5447 N
0.5580 0.5580 0.4553 N
0.6215 0.6215 0.8483 N
0.6244 0.6244 0.4060 N

=====

(4)
Sr2FeIr, optimized geometry, DFT GGA-PBE; symmetry = F-43m; ΔH_f (0 K) = 0.5409 eV/atom; calculated total energy = -18.52 eV for the cell shown
1.0
0.0000 3.5757 3.5757
3.5757 0.0000 3.5757
3.5757 3.5757 0.0000
Sr Fe Ir
2 1 1
direct
0.0000 0.0000 0.0000 Sr
0.2500 0.2500 0.2500 Sr
0.5000 0.5000 0.5000 Fe
0.7500 0.7500 0.7500 Ir

=====

(5)
Tb12Sc3Tl, optimized geometry, DFT GGA-PBE; symmetry = P4/mmm; ΔH_f (0 K) = -0.0185 eV/atom; calculated total energy = -77.22 eV for the cell shown
1.0
4.8964 0.0000 0.0000
0.0000 4.8964 0.0000
0.0000 0.0000 19.8520
Tb Sc Tl
12 3 1
direct
0.0000 0.0000 0.0000 Tb
0.0000 0.0000 0.2492 Tb
0.0000 0.0000 0.5000 Tb
0.0000 0.0000 0.7508 Tb
0.0000 0.5000 0.1255 Tb
0.0000 0.5000 0.3750 Tb
0.0000 0.5000 0.6250 Tb
0.0000 0.5000 0.8745 Tb
0.5000 0.0000 0.1255 Tb
0.5000 0.0000 0.3750 Tb
0.5000 0.0000 0.6250 Tb
0.5000 0.0000 0.8745 Tb
0.5000 0.5000 0.2505 Sc
0.5000 0.5000 0.5000 Sc
0.5000 0.5000 0.7495 Sc
0.5000 0.5000 0.0000 Tl

=====

(6)
ReAsSe2, optimized geometry, DFT GGA-PBE; symmetry = Cmmm; raw formation energy = 2.29 eV per formula unit; calculated total energy = -21.78 eV for the cell shown
1.0
1.5096 -2.4708 0.0000
1.5096 2.4708 0.0000
0.0000 0.0000 10.2542
Re As Se
1 1 2
direct
0.0000 0.0000 0.0000 Re
0.0000 0.0000 0.5000 As
0.5000 0.5000 0.2046 Se
0.5000 0.5000 0.7954 Se

=====

(7)
Pa2GaRh, optimized geometry, DFT GGA-PBE; symmetry = R-3m; ΔH_f (0 K) = -0.0708 eV/atom; energy above the most stable polymorph in this dataset = 387 meV per atom; calculated total energy = -29.65 eV for the cell shown
1.0
1.5654 0.9038 10.1604
-1.5654 0.9038 10.1604
0.0000 -1.8076 10.1604
Pa Ga Rh
2 1 1
direct
0.0830 0.0830 0.0830 Pa
0.9170 0.9170 0.9170 Pa
0.5000 0.5000 0.5000 Ga
0.0000 0.0000 0.0000 Rh

=====

(8)
GaINF2, optimized geometry, DFT GGA-PBE; symmetry = P4/mmm; raw formation energy = -2.72 eV per formula unit; energy above the most stable polymorph in this dataset = 0 meV per atom; calculated total energy = -19.36 eV for the cell shown
1.0
3.8588 0.0000 0.0000
0.0000 3.8588 0.0000
0.0000 0.0000 4.6373
Ga I N F
1 1 1 2
direct
0.0000 0.0000 0.0000 Ga
0.5000 0.5000 0.5000 I
0.0000 0.0000 0.5000 N
0.0000 0.5000 0.0000 F
0.5000 0.0000 0.0000 F